Material: Pm2HgTe
Method: DFT, PBE-GGA
State: optimized geometry

Formation energy (no corrections) = -281 kJ/mol of formula units
Electronic total energy = -63.4 eV per cell
Energy above the lowest structure with this stoichiometry = 188 meV per atom

abc: 7.670 7.670 7.670
angles: 90.00 90.00 90.00
Space group Fm-3m (No. 225)
One atom of each set of equivalent atoms:
Pm 0.250 0.250 0.250
Hg 0.000 0.000 0.000
Te 0.000 0.000 0.500

---

Material: CaNbCu
Method: DFT, PBE-GGA
State: optimized geometry

Formation enthalpy at 0 K = 0.8 eV per formula unit
Electronic total energy = -61.4 eV per cell
Energy above the lowest structure with this stoichiometry = 121 meV per atom

abc: 4.134 5.307 12.011
angles: 90.00 90.00 90.00
Space group Immm (No. 71)
One atom of each set of equivalent atoms:
Ca 0.000 0.000 0.205
Nb 0.000 0.244 0.500
Cu 0.000 0.500 0.101

---

Material: BaSr2AsS
Method: DFT, PBE-GGA
State: optimized geometry

Formation energy (no corrections) = -309 kJ/mol of formula units
Electronic total energy = -17.3 eV per cell

abc: 5.538 5.538 6.460
angles: 90.00 90.00 90.00
Space group P4/mmm (No. 123)
One atom of each set of equivalent atoms:
Ba 0.000 0.000 0.000
Sr 0.000 0.500 0.500
As 0.500 0.500 0.000
S 0.500 0.500 0.500

---

Material: LiPSe2
Method: DFT, PBE-GGA
State: optimized geometry

Formation energy (no corrections) = -85 kJ/mol of formula units
Electronic total energy = -30.3 eV per cell

abc: 3.367 4.209 12.481
angles: 90.00 90.00 90.00
Space group Immm (No. 71)
One atom of each set of equivalent atoms:
Li 0.000 0.000 0.000
P 0.000 0.000 0.500
Se 0.000 0.500 0.142

---

Material: PrHo4Mg2
Method: DFT, PBE-GGA
State: optimized geometry

Formation enthalpy at 0 K = 3.5 eV per formula unit
Electronic total energy = -68.5 eV per cell
Energy above the lowest structure with this stoichiometry = 453 meV per atom

abc: 5.1816 5.1816 31.2258
angles: 90.00 90.00 120.00
Space group R-3m (No. 166, hexagonal axes)
One atom of each set of equivalent atoms:
Pr 0.0000 0.0000 0.0000
Ho 0.0000 0.0000 0.2027
Ho 0.0000 0.0000 0.3963
Mg 0.0000 0.0000 0.1007

---

Material: KCu2S
Method: DFT, PBE-GGA
State: optimized geometry

Formation energy (no corrections) = -51 kJ/mol of formula units
Electronic total energy = -55.8 eV per cell
Energy above the lowest structure with this stoichiometry = 0 meV per atom

abc: 4.969 4.969 15.611
angles: 90.00 90.00 90.00
Space group I4_1/amd (No. 141, origin choice 2)
One atom of each set of equivalent atoms:
K 0.000 0.250 0.375
Cu 0.000 0.000 0.000
S 0.000 0.250 0.875

---

Which of these has the lowest electronic total energy?
PrHo4Mg2

---

What did the sixth record say?
Material: KCu2S
Method: DFT, PBE-GGA
State: optimized geometry

Formation energy (no corrections) = -51 kJ/mol of formula units
Electronic total energy = -55.8 eV per cell
Energy above the lowest structure with this stoichiometry = 0 meV per atom

abc: 4.969 4.969 15.611
angles: 90.00 90.00 90.00
Space group I4_1/amd (No. 141, origin choice 2)
One atom of each set of equivalent atoms:
K 0.000 0.250 0.375
Cu 0.000 0.000 0.000
S 0.000 0.250 0.875